Entry from the Alexandria database: a relaxed structure of HoTm2Sc (PBE).

Cell lengths 4.862, 4.862, 4.873 Å; angles 90.00, 90.00, 90.00 degrees
Element x y z (fractional)
Ho 0.000 0.000 0.000
Tm 0.000 0.500 0.500
Tm 0.500 0.000 0.500
Sc 0.500 0.500 0.000

Results
- Density of states at the Fermi level: 1.64 states/eV/atom
- DFT formation energy: 0.2 eV per formula unit
- Polymorph energy (0 for the lowest one): 0.020 eV per atom
- Symmetry: P4/mmm (123)

---

Entry from the Alexandria database: a relaxed structure of RbCdAs2P (PBE).

Cell lengths 5.020, 5.020, 5.343 Å; angles 90.00, 90.00, 90.00 degrees
Element x y z (fractional)
Rb 0.000 0.000 0.000
Cd 0.500 0.500 0.000
As 0.000 0.500 0.500
As 0.500 0.000 0.500
P 0.500 0.500 0.500

Results
- Density of states at the Fermi level: 0.62 states/eV/atom
- DFT formation energy: 1.3 eV per formula unit
- Symmetry: P4/mmm (123)